(1)
{"formula": "CsSI2", "functional": "GGA-PBE", "state": "relaxed", "e_above_lowest_polymorph_ev_per_atom": 0.336, "raw_formation_energy_mev_per_atom": -57, "density_g_cm3": 4.17, "lattice": [[1.488, 2.931, 5.229], [-3.324, 4.858, 1.870], [-3.653, -0.482, 4.957]], "species": ["I", "I", "Cs", "S"], "frac_coords": [[0.250, 0.250, 0.250], [0.750, 0.750, 0.750], [0.500, 0.500, 0.500], [0.000, 0.000, 0.000]]}

---

(2)
{"formula": "Sc2NbGaC", "functional": "GGA-PBE", "state": "relaxed", "formation_energy_ev_per_atom": -0.5038, "density_g_cm3": 5.15, "lattice": [[-4.063, -0.137, -1.787], [1.666, -1.925, -3.639], [-0.645, -3.896, 1.766]], "species": ["Ga", "Sc", "Sc", "Nb", "C"], "frac_coords": [[0.500, 0.500, 0.500], [0.500, 0.000, 0.000], [0.000, 0.500, 0.000], [0.000, 0.000, 0.500], [0.000, 0.000, 0.000]]}

---

(3)
{"formula": "Pr6Y8Zr", "functional": "GGA-PBE", "state": "relaxed", "formation_energy_ev_per_atom": 0.1260, "density_g_cm3": 5.43, "lattice": [[-6.378, -2.807, -5.270], [1.933, -6.618, -5.366], [-3.539, -7.766, 1.869]], "species": ["Y", "Y", "Zr", "Y", "Y", "Pr", "Pr", "Pr", "Y", "Y", "Pr", "Y", "Y", "Pr", "Pr"], "frac_coords": [[0.715, 0.760, 0.112], [0.285, 0.240, 0.888], [0.000, 0.000, 0.000], [0.577, 0.577, 0.577], [0.240, 0.888, 0.285], [0.774, 0.899, 0.457], [0.101, 0.543, 0.226], [0.226, 0.101, 0.543], [0.888, 0.285, 0.240], [0.760, 0.112, 0.715], [0.457, 0.774, 0.899], [0.112, 0.715, 0.760], [0.423, 0.423, 0.423], [0.899, 0.457, 0.774], [0.543, 0.226, 0.101]]}

---

(4)
{"formula": "CaTcP2", "functional": "GGA-PBE", "state": "relaxed", "formation_energy_ev_per_atom": -0.4371, "e_above_lowest_polymorph_ev_per_atom": 0.151, "density_g_cm3": 4.39, "lattice": [[3.998, 0.000, 0.000], [0.000, 3.817, -0.342], [0.000, 0.442, 4.915]], "species": ["P", "Ca", "P", "Tc"], "frac_coords": [[0.000, 0.250, 0.521], [0.500, 0.750, 0.750], [0.000, 0.250, 0.979], [0.500, 0.250, 0.250]]}

---

(5)
{"formula": "Th4SbCS2", "functional": "GGA-PBE", "state": "relaxed", "raw_formation_energy_mev_per_atom": -876, "density_g_cm3": 8.66, "lattice": [[-5.333, 3.797, -2.892], [-5.605, -2.701, -2.066], [-4.932, 2.501, 3.522]], "species": ["Th", "Sb", "Th", "S", "Th", "S", "C", "Th"], "frac_coords": [[0.159, 0.866, 0.455], [0.000, 0.000, 0.000], [0.841, 0.545, 0.134], [0.786, 0.714, 0.714], [0.480, 0.134, 0.545], [0.214, 0.286, 0.286], [0.500, 0.500, 0.500], [0.520, 0.455, 0.866]]}

---

(6)
{"formula": "Cu2I2F", "functional": "GGA-PBE", "state": "relaxed", "raw_formation_energy_mev_per_atom": -487, "density_g_cm3": 4.73, "lattice": [[-5.772, 0.803, 2.032], [-5.283, -4.142, -3.887], [-7.649, -3.703, 7.042]], "species": ["Cu", "F", "Cu", "F", "I", "I", "Cu", "Cu", "I", "I"], "frac_coords": [[0.769, 0.171, 0.810], [0.823, 0.847, 0.254], [0.557, 0.173, 0.688], [0.177, 0.153, 0.746], [0.508, 0.482, 0.748], [0.821, 0.850, 0.752], [0.231, 0.829, 0.190], [0.443, 0.827, 0.312], [0.491, 0.518, 0.252], [0.179, 0.150, 0.248]]}

---

(7)
{"formula": "Na2Li2AgF7", "functional": "GGA-PBE", "state": "relaxed", "raw_formation_energy_mev_per_atom": -2123, "density_g_cm3": 3.11, "lattice": [[4.209, -0.574, 0.038], [-0.569, 4.210, 0.038], [1.880, 1.878, 9.268]], "species": ["Na", "Li", "Na", "Li", "F", "F", "F", "F", "Ag", "F", "F", "F"], "frac_coords": [[0.156, 0.156, 0.625], [0.531, 0.531, 0.808], [0.844, 0.844, 0.375], [0.469, 0.469, 0.192], [0.350, 0.985, 0.832], [0.707, 0.707, 0.613], [0.500, 0.500, 0.000], [0.015, 0.650, 0.168], [0.000, 0.000, 0.000], [0.650, 0.015, 0.168], [0.985, 0.350, 0.832], [0.293, 0.293, 0.387]]}

---

(8)
{"formula": "BeReHg2", "functional": "GGA-PBE", "state": "relaxed", "formation_energy_ev_per_atom": 0.5562, "density_g_cm3": 14.14, "lattice": [[9.709, 0.000, 0.000], [9.273, 2.875, 0.000], [9.273, 1.404, 2.508]], "species": ["Hg", "Hg", "Re", "Be"], "frac_coords": [[0.242, 0.242, 0.242], [0.015, 0.015, 0.015], [0.485, 0.485, 0.485], [0.758, 0.758, 0.758]]}

---

no.,volume (Å³ per cell)
1,166.6
2,85.3
3,504.0
4,75.6
5,215.9
6,280.6
7,160.5
8,70.0